Below is a relaxed Mg3InAg crystal, with properties calculated at the PBE-GGA level.

Properties
space-group type	No. 59
uncorrected energy	-21.2	eV for the cell shown
relative energy among the computed polymorphs	0.28	eV/f.u.

Cell lengths 4.740, 6.163, 7.902 Å; angles 90.00, 90.00, 90.00 degrees
Fractional coordinates of all 10 atoms:
Mg (0.250, 0.008, 0.161)
Mg (0.250, 0.492, 0.161)
Mg (0.250, 0.750, 0.532)
Mg (0.750, 0.250, 0.468)
Mg (0.750, 0.508, 0.839)
Mg (0.750, 0.992, 0.839)
In (0.250, 0.250, 0.707)
In (0.750, 0.750, 0.293)
Ag (0.250, 0.750, 0.870)
Ag (0.750, 0.250, 0.130)

Below is a relaxed MgInAg2 crystal, with properties calculated at the PBE-GGA level.

Properties
space-group type	No. 216
uncorrected energy	-41.2	eV for the cell shown
relative energy among the computed polymorphs	0.33	eV/f.u.

Cell lengths 6.792, 6.792, 6.792 Å; angles 90.00, 90.00, 90.00 degrees
Fractional coordinates of all 16 atoms:
Mg (0.000, 0.000, 0.000)
Mg (0.000, 0.500, 0.500)
Mg (0.500, 0.000, 0.500)
Mg (0.500, 0.500, 0.000)
In (0.250, 0.250, 0.750)
In (0.250, 0.750, 0.250)
In (0.750, 0.250, 0.250)
In (0.750, 0.750, 0.750)
Ag (0.000, 0.000, 0.500)
Ag (0.000, 0.500, 0.000)
Ag (0.250, 0.250, 0.250)
Ag (0.250, 0.750, 0.750)
Ag (0.500, 0.000, 0.000)
Ag (0.500, 0.500, 0.500)
Ag (0.750, 0.250, 0.750)
Ag (0.750, 0.750, 0.250)

Below is a relaxed Mg5In2Ag2 crystal, with properties calculated at the PBE-GGA level.

Properties
space-group type	No. 64
uncorrected energy	-39.7	eV for the cell shown
relative energy among the computed polymorphs	0.00	eV/f.u.

Cell lengths 8.334, 8.334, 7.359 Å; angles 90.00, 90.00, 53.22 degrees
Fractional coordinates of all 18 atoms:
Mg (0.000, 0.000, 0.000)
Mg (0.043, 0.712, 0.666)
Mg (0.212, 0.543, 0.166)
Mg (0.288, 0.957, 0.666)
Mg (0.457, 0.788, 0.166)
Mg (0.500, 0.500, 0.500)
Mg (0.543, 0.212, 0.834)
Mg (0.712, 0.043, 0.334)
Mg (0.788, 0.457, 0.834)
Mg (0.957, 0.288, 0.334)
In (0.214, 0.214, 0.000)
In (0.286, 0.286, 0.500)
In (0.714, 0.714, 0.500)
In (0.786, 0.786, 0.000)
Ag (0.134, 0.866, 0.365)
Ag (0.366, 0.634, 0.865)
Ag (0.634, 0.366, 0.135)
Ag (0.866, 0.134, 0.635)

Below is a relaxed MgIn3Ag6 crystal, with properties calculated at the PBE-GGA level.

Properties
space-group type	No. 160
uncorrected energy	-25.6	eV for the cell shown
relative energy among the computed polymorphs	1.34	eV/f.u.

Cell lengths 10.197, 10.197, 10.197 Å; angles 119.10, 119.10, 119.10 degrees
Fractional coordinates of all 10 atoms:
Mg (0.000, 0.000, 0.000)
In (0.347, 0.860, 0.860)
In (0.860, 0.347, 0.860)
In (0.860, 0.860, 0.347)
Ag (0.239, 0.239, 0.969)
Ag (0.239, 0.969, 0.239)
Ag (0.480, 0.480, 0.725)
Ag (0.480, 0.725, 0.480)
Ag (0.725, 0.480, 0.480)
Ag (0.969, 0.239, 0.239)

Below is a relaxed MgInAg2 crystal, with properties calculated at the PBE-GGA level.

Properties
space-group type	No. 12
uncorrected energy	-20.4	eV for the cell shown
relative energy among the computed polymorphs	0.42	eV/f.u.

Cell lengths 6.039, 9.681, 3.004 Å; angles 90.00, 115.14, 90.00 degrees
Fractional coordinates of all 8 atoms:
Mg (0.000, 0.000, 0.000)
Mg (0.500, 0.500, 0.000)
In (0.000, 0.500, 0.000)
In (0.500, 0.000, 0.000)
Ag (0.250, 0.250, 0.500)
Ag (0.250, 0.750, 0.500)
Ag (0.750, 0.250, 0.500)
Ag (0.750, 0.750, 0.500)

Below is a relaxed MgIn3Ag7 crystal, with properties calculated at the PBE-GGA level.

Properties
space-group type	No. 63
uncorrected energy	-59.4	eV for the cell shown
relative energy among the computed polymorphs	0.00	eV/f.u.

Cell lengths 11.528, 11.528, 13.169 Å; angles 90.00, 90.00, 164.93 degrees
Fractional coordinates of all 22 atoms:
Mg (0.089, 0.911, 0.750)
Mg (0.911, 0.089, 0.250)
In (0.091, 0.909, 0.074)
In (0.091, 0.909, 0.426)
In (0.236, 0.764, 0.750)
In (0.764, 0.236, 0.250)
In (0.909, 0.091, 0.574)
In (0.909, 0.091, 0.926)
Ag (0.215, 0.785, 0.076)
Ag (0.215, 0.785, 0.424)
Ag (0.342, 0.658, 0.095)
Ag (0.342, 0.658, 0.405)
Ag (0.447, 0.553, 0.750)
Ag (0.469, 0.531, 0.094)
Ag (0.469, 0.531, 0.406)
Ag (0.531, 0.469, 0.594)
Ag (0.531, 0.469, 0.906)
Ag (0.553, 0.447, 0.250)
Ag (0.658, 0.342, 0.595)
Ag (0.658, 0.342, 0.905)
Ag (0.785, 0.215, 0.576)
Ag (0.785, 0.215, 0.924)

Below is a relaxed Mg3InAg crystal, with properties calculated at the PBE-GGA level.

Properties
space-group type	No. 221
uncorrected energy	-32.6	eV for the cell shown
relative energy among the computed polymorphs	0.00	eV/f.u.

Cell lengths 6.875, 6.875, 6.875 Å; angles 90.00, 90.00, 90.00 degrees
Fractional coordinates of all 15 atoms:
Mg (0.000, 0.000, 0.000)
Mg (0.272, 0.272, 0.272)
Mg (0.272, 0.272, 0.728)
Mg (0.272, 0.728, 0.272)
Mg (0.272, 0.728, 0.728)
Mg (0.728, 0.272, 0.272)
Mg (0.728, 0.272, 0.728)
Mg (0.728, 0.728, 0.272)
Mg (0.728, 0.728, 0.728)
In (0.000, 0.000, 0.500)
In (0.000, 0.500, 0.000)
In (0.500, 0.000, 0.000)
Ag (0.000, 0.500, 0.500)
Ag (0.500, 0.000, 0.500)
Ag (0.500, 0.500, 0.000)

Below is a relaxed Mg5In2Ag crystal, with properties calculated at the PBE-GGA level.

Properties
space-group type	No. 139
uncorrected energy	-33.7	eV for the cell shown
relative energy among the computed polymorphs	0.08	eV/f.u.

Cell lengths 4.688, 4.688, 16.018 Å; angles 90.00, 90.00, 90.00 degrees
Fractional coordinates of all 16 atoms:
Mg (0.000, 0.000, 0.000)
Mg (0.000, 0.500, 0.117)
Mg (0.000, 0.500, 0.383)
Mg (0.000, 0.500, 0.617)
Mg (0.000, 0.500, 0.883)
Mg (0.500, 0.000, 0.117)
Mg (0.500, 0.000, 0.383)
Mg (0.500, 0.000, 0.617)
Mg (0.500, 0.000, 0.883)
Mg (0.500, 0.500, 0.500)
In (0.000, 0.000, 0.247)
In (0.000, 0.000, 0.753)
In (0.500, 0.500, 0.253)
In (0.500, 0.500, 0.747)
Ag (0.000, 0.000, 0.500)
Ag (0.500, 0.500, 0.000)

Below is a relaxed Mg9In2Ag crystal, with properties calculated at the PBE-GGA level.

Properties
space-group type	No. 123
uncorrected energy	-23.7	eV for the cell shown

Cell lengths 4.437, 4.437, 13.350 Å; angles 90.00, 90.00, 90.00 degrees
Fractional coordinates of all 12 atoms:
Mg (0.000, 0.000, 0.000)
Mg (0.000, 0.000, 0.328)
Mg (0.000, 0.000, 0.672)
Mg (0.000, 0.500, 0.156)
Mg (0.000, 0.500, 0.500)
Mg (0.000, 0.500, 0.844)
Mg (0.500, 0.000, 0.156)
Mg (0.500, 0.000, 0.500)
Mg (0.500, 0.000, 0.844)
In (0.500, 0.500, 0.328)
In (0.500, 0.500, 0.672)
Ag (0.500, 0.500, 0.000)

Below is a relaxed Mg2In3Ag3 crystal, with properties calculated at the PBE-GGA level.

Properties
space-group type	No. 193
uncorrected energy	-40.8	eV for the cell shown

Cell lengths 8.155, 8.155, 6.108 Å; angles 90.00, 90.00, 120.00 degrees
Fractional coordinates of all 16 atoms:
Mg (0.333, 0.667, 0.000)
Mg (0.333, 0.667, 0.500)
Mg (0.667, 0.333, 0.000)
Mg (0.667, 0.333, 0.500)
In (0.000, 0.256, 0.250)
In (0.000, 0.744, 0.750)
In (0.256, 0.000, 0.250)
In (0.256, 0.256, 0.750)
In (0.744, 0.000, 0.750)
In (0.744, 0.744, 0.250)
Ag (0.000, 0.393, 0.750)
Ag (0.000, 0.607, 0.250)
Ag (0.393, 0.000, 0.750)
Ag (0.393, 0.393, 0.250)
Ag (0.607, 0.000, 0.250)
Ag (0.607, 0.607, 0.750)

Below is a relaxed NaMg2In2Ag2 crystal, with properties calculated at the PBE-GGA level.

Properties
space-group type	No. 166
uncorrected energy	-16.4	eV for the cell shown

Cell lengths 8.318, 8.318, 8.318 Å; angles 33.86, 33.86, 33.86 degrees
Fractional coordinates of all 7 atoms:
Na (0.000, 0.000, 0.000)
Mg (0.133, 0.133, 0.133)
Mg (0.867, 0.867, 0.867)
In (0.404, 0.404, 0.404)
In (0.596, 0.596, 0.596)
Ag (0.252, 0.252, 0.252)
Ag (0.748, 0.748, 0.748)

Below is a relaxed NaMgInAg crystal, with properties calculated at the PBE-GGA level.

Properties
space-group type	No. 119
uncorrected energy	-17.6	eV for the cell shown
relative energy among the computed polymorphs	0.00	eV/f.u.

Cell lengths 4.914, 4.914, 7.101 Å; angles 90.00, 90.00, 90.00 degrees
Fractional coordinates of all 8 atoms:
Na (0.000, 0.000, 0.000)
Na (0.500, 0.500, 0.500)
Mg (0.000, 0.500, 0.750)
Mg (0.500, 0.000, 0.250)
In (0.000, 0.500, 0.250)
In (0.500, 0.000, 0.750)
Ag (0.000, 0.000, 0.500)
Ag (0.500, 0.500, 0.000)